Record 1
Here is a relaxed structure of BiH from Alexandria via LeMat-Bulk. Energies are from GGA-PBE.

abc: 4.6531 4.6546 4.6537
angles: 90.00 91.21 90.00
Last column: nearest neighbours and their distance in Å.
Fractional positions:
Bi1 0.8484 0.0000 0.1078  1 H 1.85
Bi2 0.8484 0.5000 0.6078  1 H 1.85
H1 0.2455 0.0000 0.1149  1 Bi 1.85
H2 0.2455 0.5000 0.6149  1 Bi 1.85

Energy in eV per atom: -3.324
Space-group type: Cm
Calculated density in g cm⁻³: 6.92



Record 2
Here is a relaxed structure of BiH from Alexandria via LeMat-Bulk. Energies are from GGA-PBE.

abc: 6.5206 6.5206 6.5206
angles: 90.00 90.00 90.00
Last column: nearest neighbours and their distance in Å.
Fractional positions:
Bi1 0.2500 0.0000 0.5000  4 H 2.31
Bi2 0.7500 0.0000 0.5000  4 H 2.31
Bi3 0.0000 0.5000 0.2500  4 H 2.31
Bi4 0.0000 0.5000 0.7500  4 H 2.31
Bi5 0.5000 0.2500 0.0000  4 H 2.31
Bi6 0.5000 0.7500 0.0000  4 H 2.31
H1 0.2500 0.5000 0.0000  4 Bi 2.31
H2 0.7500 0.5000 0.0000  4 Bi 2.31
H3 0.5000 0.0000 0.2500  4 Bi 2.31
H4 0.5000 0.0000 0.7500  4 Bi 2.31
H5 0.0000 0.2500 0.5000  4 Bi 2.31
H6 0.0000 0.7500 0.5000  4 Bi 2.31

Energy in eV per atom: -2.921
Space-group type: Pm-3n
Calculated density in g cm⁻³: 7.55